A relaxed Be2NbAg crystal. Source: OQMD, functional PBE.

a b c (Å): 4.2865 4.2865 4.2865
angles (deg): 60.00 60.00 60.00
Element x y z (fractional)
Be: 0.0000 0.0000 0.0000
Be: 0.2500 0.2500 0.2500
Nb: 0.5000 0.5000 0.5000
Ag: 0.7500 0.7500 0.7500

Results
- electronic total energy (eV/f.u.) = -18.54
- total moment (μB/atom) = 0.0026
- theoretical density (g/cm³) = 6.52

A relaxed Tm3HfSb2C2 crystal. Source: OQMD, functional PBE.

a b c (Å): 3.5421 3.5421 14.6960
angles (deg): 90.00 90.00 120.00
Element x y z (fractional)
Tm: 0.0000 0.0000 0.0000
Tm: 0.0000 0.0000 0.3323
Tm: 0.6667 0.3333 0.5097
Hf: 0.6667 0.3333 0.8295
Sb: 0.0000 0.0000 0.6777
Sb: 0.6667 0.3333 0.1646
C: 0.3333 0.6667 0.4214
C: 0.3333 0.6667 0.9050

Results
- electronic total energy (eV/f.u.) = -55.65
- total moment (μB/atom) = 0.0011
- theoretical density (g/cm³) = 9.91

A relaxed Tl3Cu3Bi2S8 crystal. Source: OQMD, functional PBE.

a b c (Å): 9.5483 9.5483 7.0341
angles (deg): 110.01 110.01 39.99
Element x y z (fractional)
Tl: 0.0000 0.0000 0.0000
Tl: 0.3584 0.3351 0.8456
Tl: 0.6649 0.6416 0.1544
Cu: 0.1317 0.1008 0.6239
Cu: 0.5083 0.4917 0.5000
Cu: 0.8992 0.8683 0.3761
Bi: 0.3118 0.2843 0.2981
Bi: 0.7157 0.6882 0.7019
S: 0.0055 0.6386 0.5717
S: 0.0252 0.3336 0.9310
S: 0.2238 0.6240 0.2400
S: 0.3614 0.9945 0.4283
S: 0.3760 0.7762 0.7600
S: 0.6482 0.1888 0.5884
S: 0.6664 0.9748 0.0690
S: 0.8112 0.3518 0.4116

Results
- electronic total energy (eV/f.u.) = -62.52
- theoretical density (g/cm³) = 6.40

A relaxed CuTcNiSn crystal. Source: OQMD, functional PBE.

a b c (Å): 4.3506 4.3506 4.3506
angles (deg): 60.00 60.00 60.00
Element x y z (fractional)
Cu: 0.0000 0.0000 0.0000
Tc: 0.2500 0.2500 0.2500
Ni: 0.5000 0.5000 0.5000
Sn: 0.7500 0.7500 0.7500

Results
- electronic total energy (eV/f.u.) = -22.71
- total moment (μB/atom) = 0.4851
- theoretical density (g/cm³) = 9.67

A relaxed YTcB crystal. Source: OQMD, functional PBE.

a b c (Å): 4.3345 4.3345 4.3345
angles (deg): 60.00 60.00 60.00
Element x y z (fractional)
Y: 0.0000 0.0000 0.0000
Tc: 0.2500 0.2500 0.2500
B: 0.7500 0.7500 0.7500

Results
- electronic total energy (eV/f.u.) = -18.40
- total moment (μB/atom) = 0.1373
- theoretical density (g/cm³) = 5.70

A relaxed HgBiSO crystal. Source: OQMD, functional PBE.

a b c (Å): 7.1602 7.8250 6.3253
angles (deg): 90.00 95.45 90.00
Element x y z (fractional)
Hg: 0.0540 0.2331 0.3704
Hg: 0.0540 0.2669 0.8704
Hg: 0.9460 0.7331 0.1296
Hg: 0.9460 0.7669 0.6296
Bi: 0.4571 0.6190 0.2575
Bi: 0.4571 0.8810 0.7575
Bi: 0.5429 0.1190 0.2425
Bi: 0.5429 0.3810 0.7425
S: 0.2269 0.5730 0.8238
S: 0.2269 0.9270 0.3238
S: 0.7731 0.0730 0.6762
S: 0.7731 0.4270 0.1762
O: 0.4011 0.1739 0.9214
O: 0.4011 0.3261 0.4214
O: 0.5989 0.6739 0.5786
O: 0.5989 0.8261 0.0786

Results
- electronic total energy (eV/f.u.) = -15.08
- theoretical density (g/cm³) = 8.62

A relaxed ZnCoGeMo crystal. Source: OQMD, functional PBE.

a b c (Å): 4.2932 4.2932 4.2932
angles (deg): 60.00 60.00 60.00
Element x y z (fractional)
Zn: 0.0000 0.0000 0.0000
Co: 0.5000 0.5000 0.5000
Ge: 0.2500 0.2500 0.2500
Mo: 0.7500 0.7500 0.7500

Results
- electronic total energy (eV/f.u.) = -22.40
- total moment (μB/atom) = 0.5035
- theoretical density (g/cm³) = 8.69

A relaxed SrHoAuO3 crystal. Source: OQMD, functional PBE.

a b c (Å): 6.7904 6.7904 8.5971
angles (deg): 90.00 90.00 148.77
Element x y z (fractional)
Sr: 0.1776 0.8224 0.7500
Sr: 0.8224 0.1776 0.2500
Ho: 0.5000 0.5000 0.0000
Ho: 0.5000 0.5000 0.5000
Au: 0.1219 0.8781 0.2500
Au: 0.8781 0.1219 0.7500
O: 0.1117 0.8883 0.0159
O: 0.1117 0.8883 0.4841
O: 0.4420 0.5580 0.2500
O: 0.5580 0.4420 0.7500
O: 0.8883 0.1117 0.5159
O: 0.8883 0.1117 0.9841

Results
- electronic total energy (eV/f.u.) = -38.51
- total moment (μB/atom) = 0.0004
- theoretical density (g/cm³) = 8.04